NaHPd3 | PBE-GGA | optimized geometry

a = 10.782 Å, b = 10.782 Å, c = 10.782 Å
α = 90.00°, β = 90.00°, γ = 90.00°
Space group Fd-3m (No. 227, origin choice 2)
Asymmetric unit:
Na 0.000 0.000 0.000 [16 per cell]
H 0.000 0.000 0.500 [16 per cell]
Pd 0.058 0.375 0.875 [48 per cell]

Values from the calculation:
Raw total energy ... -4.041 eV per atom
Density of states at the Fermi level ... 89.3 states/eV/cell